VASP calculation (GGA-PBE) on a geometry-optimized Be3NbCo structure.

Calculated values
energy of formation = -0.17 eV per atom
symmetry = P2_1/m (11)
offset from the most stable computed form = 0.000 eV per atom

Cell lengths 4.4880, 4.5703, 5.1674 Å; angles 90.00, 88.78, 90.00 degrees
Positions (direct):
Be (0.1363, 0.7500, 0.5404)
Be (0.8499, 0.9887, 0.8232)
Be (0.8637, 0.2500, 0.4596)
Be (0.1501, 0.4887, 0.1768)
Be (0.1501, 0.0113, 0.1768)
Be (0.8499, 0.5113, 0.8232)
Co (0.4013, 0.7500, 0.8841)
Co (0.5987, 0.2500, 0.1159)
Nb (0.6480, 0.7500, 0.3383)
Nb (0.3520, 0.2500, 0.6617)

=====

VASP calculation (GGA-PBE) on a geometry-optimized BaDyRh structure.

Calculated values
energy of formation = -0.43 eV per atom
symmetry = C2/m (12)

Cell lengths 5.0495, 7.6803, 11.5360 Å; angles 94.17, 102.64, 90.00 degrees
Positions (direct):
Rh (0.6736, 0.5175, 0.3473)
Rh (0.3264, 0.4825, 0.6527)
Rh (0.6863, 0.1559, 0.3726)
Rh (0.3137, 0.8441, 0.6274)
Dy (0.2139, 0.6092, 0.4279)
Dy (0.7861, 0.3908, 0.5721)
Dy (0.2332, 0.1287, 0.4664)
Dy (0.7668, 0.8713, 0.5336)
Ba (0.4066, 0.1761, 0.8132)
Ba (0.0813, 0.3032, 0.1626)
Ba (0.9187, 0.6968, 0.8374)
Ba (0.5934, 0.8239, 0.1868)

=====

VASP calculation (GGA-PBE) on a geometry-optimized Ta4Nb2Fe structure.

Calculated values
energy of formation = 0.93 eV per atom
symmetry = I4/mmm (139)

Cell lengths 4.5397, 4.5397, 7.4916 Å; angles 72.36, 72.36, 90.00 degrees
Positions (direct):
Ta (0.0000, 0.5000, 0.0000)
Ta (0.8232, 0.8232, 0.3537)
Ta (0.5000, 0.0000, 0.0000)
Ta (0.1768, 0.1768, 0.6463)
Fe (0.0000, 0.0000, 0.0000)
Nb (0.3722, 0.3722, 0.2556)
Nb (0.6278, 0.6278, 0.7444)

=====

VASP calculation (GGA-PBE) on a geometry-optimized Ac2ErSb structure.

Calculated values
formation energy from raw total energies = -0.41 eV/atom
symmetry = P4/mmm (123)
offset from the most stable computed form = 0.016 eV per atom

Cell lengths 4.9881, 5.2034, 5.2034 Å; angles 90.00, 90.00, 90.00 degrees
Positions (direct):
Sb (0.5000, 0.0000, 0.0000)
Ac (0.0000, 0.5000, 0.0000)
Ac (0.0000, 0.0000, 0.5000)
Er (0.5000, 0.5000, 0.5000)

=====

VASP calculation (GGA-PBE) on a geometry-optimized CrAsCSe2 structure.

Calculated values
formation energy from raw total energies = 1.37 eV/atom
symmetry = P4/mmm (123)
offset from the most stable computed form = 0.000 eV per atom

Cell lengths 4.3339, 4.3339, 4.1961 Å; angles 90.00, 90.00, 90.00 degrees
Positions (direct):
As (0.0000, 0.0000, 0.5000)
C (0.0000, 0.0000, 0.0000)
Cr (0.5000, 0.5000, 0.5000)
Se (0.0000, 0.5000, 0.0000)
Se (0.5000, 0.0000, 0.0000)